This record from the Alexandria database describes a relaxed DyCuRu crystal. The functional is PBE-GGA.

a b c (Å): 3.3923 3.3923 5.1987
angles (deg): 109.04 109.04 90.00
With the nearest neighbours (Å) after each atom.
Positions (direct):
Ru 0.2619 0.2619 0.5237  4 Cu 2.64, 5 Dy 2.92-2.94
Cu 0.6424 0.6424 0.2849  4 Ru 2.64, 1 Dy 2.80
Dy 0.9457 0.9457 0.8914  5 Cu 2.80-3.01, 5 Ru 2.92-2.94

D(E_F) in states/eV/f.u.: 1.92
Calculated formation energy in meV per atom: -77.5

This record from the Alexandria database describes a relaxed Dy7Cu2Ru2 crystal. The functional is PBE-GGA.

a b c (Å): 6.5741 7.0543 6.5741
angles (deg): 90.00 113.00 90.00
With the nearest neighbours (Å) after each atom.
Positions (direct):
Dy 0.9998 0.2700 0.5003  2 Ru 2.70-2.71
Dy 0.5003 0.7300 0.9998  2 Ru 2.70-2.71
Dy 0.0002 0.7300 0.4997  2 Ru 2.70-2.71
Dy 0.4997 0.2700 0.0002  2 Ru 2.70-2.71
Dy 0.0000 0.0000 0.0000  2 Ru 3.37, 4 Cu 3.73
Dy 0.5002 0.7441 0.4998  2 Ru 2.78, 2 Cu 2.97
Dy 0.4998 0.2559 0.5002  2 Ru 2.78, 2 Cu 2.97
Cu 0.8337 0.5000 0.8337  1 Cu 2.41
Cu 0.1663 0.5000 0.1663  1 Cu 2.41
Ru 0.6926 0.0000 0.3074  6 Dy 2.70-2.78
Ru 0.3074 0.0000 0.6926  6 Dy 2.70-2.78

D(E_F) in states/eV/f.u.: 8.11
Calculated formation energy in meV per atom: -112.8

This record from the Alexandria database describes a relaxed Dy3CuRu crystal. The functional is PBE-GGA.

a b c (Å): 4.0688 6.5232 8.9234
angles (deg): 90.05 90.01 90.00
With the nearest neighbours (Å) after each atom.
Positions (direct):
Dy 0.2500 0.7826 0.5588  3 Ru 2.94-3.17, 2 Cu 2.98
Dy 0.2500 0.2683 0.7501  2 Ru 2.78, 2 Cu 2.85
Dy 0.2500 0.7828 0.9412  3 Ru 2.94-3.17, 2 Cu 2.98
Dy 0.7500 0.2174 0.4412  3 Ru 2.94-3.17, 2 Cu 2.98
Dy 0.7500 0.2172 0.0588  3 Ru 2.94-3.17, 2 Cu 2.98
Dy 0.7500 0.7317 0.2499  2 Ru 2.78, 2 Cu 2.85
Cu 0.7500 0.5747 0.7500  1 Ru 2.62, 2 Dy 2.85
Cu 0.2500 0.4253 0.2500  1 Ru 2.62, 2 Dy 2.85
Ru 0.2500 0.0232 0.2499  1 Cu 2.62, 2 Dy 2.78
Ru 0.7500 0.9768 0.7501  1 Cu 2.62, 2 Dy 2.78

D(E_F) in states/eV/f.u.: 4.48
Calculated formation energy in meV per atom: -264.0

This record from the Alexandria database describes a relaxed DyCuRu crystal. The functional is PBE-GGA.

a b c (Å): 4.9977 4.9977 6.1088
angles (deg): 83.03 126.01 115.45
With the nearest neighbours (Å) after each atom.
Positions (direct):
Dy 0.2400 0.6421 0.8821  2 Cu 2.76, 3 Ru 2.88-2.90, 1 Dy 3.02
Dy 0.7600 0.3579 0.1179  2 Cu 2.76, 3 Ru 2.88-2.90, 1 Dy 3.02
Cu 0.0000 0.0000 0.5000  2 Ru 2.56, 2 Cu 2.67, 2 Dy 2.76
Cu 0.5000 0.5000 0.5000  2 Ru 2.56, 2 Cu 2.67, 2 Dy 2.76
Ru 0.2427 0.9892 0.2318  2 Ru 2.45-2.70, 2 Cu 2.56
Ru 0.7573 0.0108 0.7682  2 Ru 2.45-2.70, 2 Cu 2.56

D(E_F) in states/eV/f.u.: 2.23
Calculated formation energy in meV per atom: 29.6

This record from the Alexandria database describes a relaxed Dy4CuRu crystal. The functional is PBE-GGA.

a b c (Å): 3.4424 3.4424 12.5482
angles (deg): 90.00 90.00 90.00
With the nearest neighbours (Å) after each atom.
Positions (direct):
Dy 0.5000 0.5000 0.8633  4 Cu 2.98
Dy 0.5000 0.5000 0.1367  4 Cu 2.98
Dy 0.0000 0.0000 0.6310  4 Ru 2.94, 1 Dy 3.29
Dy 0.0000 0.0000 0.3690  4 Ru 2.94, 1 Dy 3.29
Cu 0.0000 0.0000 0.0000  8 Dy 2.98
Ru 0.5000 0.5000 0.5000  8 Dy 2.94

D(E_F) in states/eV/f.u.: 5.47
Calculated formation energy in meV per atom: -210.1

This record from the Alexandria database describes a relaxed Dy12Cu6Ru crystal. The functional is PBE-GGA.

a b c (Å): 8.0937 8.0937 8.0937
angles (deg): 97.92 97.92 97.92
With the nearest neighbours (Å) after each atom.
Positions (direct):
Dy 0.8102 0.5835 0.4334  3 Cu 2.74-2.88
Dy 0.4334 0.8102 0.5835  3 Cu 2.74-2.88
Dy 0.5835 0.4334 0.8102  3 Cu 2.74-2.88
Dy 0.1898 0.4165 0.5666  3 Cu 2.74-2.88
Dy 0.5666 0.1898 0.4165  3 Cu 2.74-2.88
Dy 0.4165 0.5666 0.1898  3 Cu 2.74-2.88
Dy 0.0839 0.9661 0.3210  1 Ru 2.66, 2 Cu 2.81-2.90
Dy 0.0339 0.6790 0.9161  1 Ru 2.66, 2 Cu 2.81-2.90
Dy 0.6790 0.9161 0.0339  1 Ru 2.66, 2 Cu 2.81-2.90
Dy 0.9161 0.0339 0.6790  1 Ru 2.66, 2 Cu 2.81-2.90
Dy 0.9661 0.3210 0.0839  1 Ru 2.66, 2 Cu 2.81-2.90
Dy 0.3210 0.0839 0.9661  1 Ru 2.66, 2 Cu 2.81-2.90
Cu 0.6883 0.8727 0.3735  5 Dy 2.74-2.90
Cu 0.6265 0.3117 0.1273  5 Dy 2.74-2.90
Cu 0.1273 0.6265 0.3117  5 Dy 2.74-2.90
Cu 0.3117 0.1273 0.6265  5 Dy 2.74-2.90
Cu 0.3735 0.6883 0.8727  5 Dy 2.74-2.90
Cu 0.8727 0.3735 0.6883  5 Dy 2.74-2.90
Ru 0.0000 0.0000 0.0000  6 Dy 2.66

D(E_F) in states/eV/f.u.: 19.78
Calculated formation energy in meV per atom: -14.3

This record from the Alexandria database describes a relaxed Dy4CuRu3 crystal. The functional is PBE-GGA.

a b c (Å): 4.8335 6.8278 9.6676
angles (deg): 90.00 90.00 90.00
With the nearest neighbours (Å) after each atom.
Positions (direct):
Ru 0.0000 0.0000 0.0000  8 Dy 2.94
Ru 0.0000 0.0000 0.5000  8 Dy 2.94
Ru 0.5001 0.0000 0.7500  8 Dy 2.94
Ru 0.4999 0.0000 0.2500  8 Dy 2.94
Ru 0.5002 0.5000 0.7500  8 Dy 2.98
Ru 0.4998 0.5000 0.2500  8 Dy 2.98
Cu 0.0000 0.5000 0.0000  8 Dy 2.98
Cu 0.0000 0.5000 0.5000  8 Dy 2.98
Dy 0.5000 0.7549 0.0000  6 Ru 2.94-2.98, 2 Cu 2.98
Dy 0.5000 0.7549 0.5000  6 Ru 2.94-2.98, 2 Cu 2.98
Dy 0.5000 0.2451 0.0000  6 Ru 2.94-2.98, 2 Cu 2.98
Dy 0.5000 0.2451 0.5000  6 Ru 2.94-2.98, 2 Cu 2.98
Dy 0.0001 0.7549 0.7500  6 Ru 2.94-2.98, 2 Cu 2.98
Dy 0.9999 0.7549 0.2500  6 Ru 2.94-2.98, 2 Cu 2.98
Dy 0.9999 0.2451 0.2500  6 Ru 2.94-2.98, 2 Cu 2.98
Dy 0.0001 0.2451 0.7500  6 Ru 2.94-2.98, 2 Cu 2.98

D(E_F) in states/eV/f.u.: 4.75
Calculated formation energy in meV per atom: -362.0

This record from the Alexandria database describes a relaxed Dy2CuRu crystal. The functional is PBE-GGA.

a b c (Å): 4.8396 4.8550 4.8396
angles (deg): 60.19 90.13 60.19
With the nearest neighbours (Å) after each atom.
Positions (direct):
Ru 0.2500 0.5000 0.7500  8 Dy 2.97
Cu 0.7500 0.5000 0.2500  8 Dy 2.97
Dy 0.0000 0.0000 0.0000  4 Ru 2.97, 4 Cu 2.97
Dy 0.5000 0.0000 0.5000  4 Ru 2.97, 4 Cu 2.97

D(E_F) in states/eV/f.u.: 3.47
Calculated formation energy in meV per atom: -343.3

This record from the Alexandria database describes a relaxed DyCuRu crystal. The functional is PBE-GGA.

a b c (Å): 3.5541 4.2585 4.2585
angles (deg): 120.00 90.00 90.00
With the nearest neighbours (Å) after each atom.
Positions (direct):
Ru 0.1667 0.3333 0.6667  3 Cu 2.46
Cu 0.1667 0.0000 0.0000  3 Ru 2.46
Dy 0.6667 0.6667 0.3333  6 Ru 3.03, 6 Cu 3.03

D(E_F) in states/eV/f.u.: 2.13
Calculated formation energy in meV per atom: -115.7

This record from the Alexandria database describes a relaxed Dy2CuRu2 crystal. The functional is PBE-GGA.

a b c (Å): 5.4549 5.3106 8.1455
angles (deg): 102.34 90.00 120.90
With the nearest neighbours (Å) after each atom.
Positions (direct):
Dy 0.5122 0.3027 0.1525  6 Ru 2.87-3.17, 2 Cu 3.08-3.19
Dy 0.2094 0.6973 0.3475  6 Ru 2.87-3.17, 2 Cu 3.08-3.19
Dy 0.4878 0.6973 0.8475  6 Ru 2.87-3.17, 2 Cu 3.08-3.19
Dy 0.7906 0.3027 0.6525  6 Ru 2.87-3.17, 2 Cu 3.08-3.19
Cu 0.8490 0.0000 0.2500  4 Ru 2.58-2.62
Cu 0.1510 0.0000 0.7500  4 Ru 2.58-2.62
Ru 0.7354 0.7354 0.4958  2 Ru 2.52-2.80, 2 Cu 2.58-2.62
Ru 0.0000 0.2646 0.0042  2 Ru 2.52-2.80, 2 Cu 2.58-2.62
Ru 0.2646 0.2646 0.5042  2 Ru 2.52-2.80, 2 Cu 2.58-2.62
Ru 0.0000 0.7354 0.9958  2 Ru 2.52-2.80, 2 Cu 2.58-2.62

D(E_F) in states/eV/f.u.: 4.08
Calculated formation energy in meV per atom: -231.6

This record from the Alexandria database describes a relaxed Dy3CuRu crystal. The functional is PBE-GGA.

a b c (Å): 5.6319 6.2940 8.1997
angles (deg): 112.33 79.31 120.09
With the nearest neighbours (Å) after each atom.
Positions (direct):
Dy 0.5010 0.8127 0.1252  4 Ru 2.97-3.14, 2 Cu 3.09-3.10
Dy 0.1402 0.4221 0.7120  2 Ru 2.78-2.79, 1 Cu 3.04
Dy 0.8547 0.7908 0.7123  2 Ru 2.77-2.78, 2 Cu 3.04-3.10
Dy 0.1453 0.2092 0.2877  2 Ru 2.77-2.78, 2 Cu 3.04-3.10
Dy 0.4990 0.1873 0.8748  4 Ru 2.97-3.14, 2 Cu 3.09-3.10
Dy 0.8598 0.5779 0.2880  2 Ru 2.78-2.79, 1 Cu 3.04
Cu 0.5492 0.2133 0.5005  1 Cu 2.45
Cu 0.4508 0.7867 0.4995  1 Cu 2.45
Ru 0.0000 0.7501 0.0003  6 Dy 2.77-2.97
Ru 0.0000 0.2499 0.9997  6 Dy 2.77-2.97

D(E_F) in states/eV/f.u.: 3.37
Calculated formation energy in meV per atom: -282.3

This record from the Alexandria database describes a relaxed Dy6CuRu5 crystal. The functional is PBE-GGA.

a b c (Å): 4.8397 6.8136 7.6092
angles (deg): 90.00 71.46 90.00
With the nearest neighbours (Å) after each atom.
Positions (direct):
Ru 0.6658 0.5000 0.6683  8 Dy 2.92-2.95
Ru 0.3352 0.0000 0.3296  8 Dy 2.94-2.97
Ru 0.0000 0.5000 0.0000  8 Dy 2.94-2.96
Ru 0.6648 0.0000 0.6704  8 Dy 2.94-2.97
Ru 0.3342 0.5000 0.3317  8 Dy 2.92-2.95
Cu 0.0000 0.0000 0.0000  8 Dy 2.98
Dy 0.8312 0.7479 0.3376  7 Ru 2.92-2.97, 1 Cu 2.98
Dy 0.8312 0.2521 0.3376  7 Ru 2.92-2.97, 1 Cu 2.98
Dy 0.5000 0.2544 0.0000  6 Ru 2.92-2.94, 2 Cu 2.98
Dy 0.5000 0.7456 0.0000  6 Ru 2.92-2.94, 2 Cu 2.98
Dy 0.1688 0.7479 0.6624  7 Ru 2.92-2.97, 1 Cu 2.98
Dy 0.1688 0.2521 0.6624  7 Ru 2.92-2.97, 1 Cu 2.98

D(E_F) in states/eV/f.u.: 6.95
Calculated formation energy in meV per atom: -349.4

This record from the Alexandria database describes a relaxed Dy4Cu3Ru crystal. The functional is PBE-GGA.

a b c (Å): 3.4317 3.4317 13.9858
angles (deg): 90.00 90.00 90.00
With the nearest neighbours (Å) after each atom.
Positions (direct):
Ru 0.5000 0.5000 0.0000  8 Dy 2.95
Cu 0.5000 0.5000 0.2502  8 Dy 2.97-3.04
Cu 0.5000 0.5000 0.5000  8 Dy 3.01
Cu 0.5000 0.5000 0.7498  8 Dy 2.97-3.04
Dy 0.0000 0.0000 0.8806  4 Ru 2.95, 4 Cu 3.04
Dy 0.0000 0.0000 0.1194  4 Ru 2.95, 4 Cu 3.04
Dy 0.0000 0.0000 0.3728  8 Cu 2.97-3.01
Dy 0.0000 0.0000 0.6272  8 Cu 2.97-3.01

D(E_F) in states/eV/f.u.: 5.27
Calculated formation energy in meV per atom: -301.6

This record from the Alexandria database describes a relaxed Dy4CuRu2 crystal. The functional is PBE-GGA.

a b c (Å): 4.8194 4.8194 8.3024
angles (deg): 73.13 73.13 60.00
With the nearest neighbours (Å) after each atom.
Positions (direct):
Ru 0.7476 0.7476 0.7571  8 Dy 2.91-2.99
Ru 0.2524 0.2524 0.2429  8 Dy 2.91-2.99
Cu 0.0000 0.0000 0.0000  8 Dy 2.97-2.98
Dy 0.8730 0.8730 0.3811  4 Ru 2.94-2.99, 1 Cu 2.98
Dy 0.1270 0.1270 0.6189  4 Ru 2.94-2.99, 1 Cu 2.98
Dy 0.6225 0.6225 0.1324  4 Ru 2.91-2.94, 3 Cu 2.97
Dy 0.3775 0.3775 0.8676  4 Ru 2.91-2.94, 3 Cu 2.97

D(E_F) in states/eV/f.u.: 2.83
Calculated formation energy in meV per atom: -328.2

This record from the Alexandria database describes a relaxed SmDyCuRu crystal. The functional is PBE-GGA.

a b c (Å): 3.8615 4.3065 5.6091
angles (deg): 90.00 110.13 90.00
With the nearest neighbours (Å) after each atom.
Positions (direct):
Sm 0.8563 0.5000 0.7126  3 Ru 2.94-3.02, 4 Cu 2.99
Dy 0.1381 0.0000 0.2763  3 Cu 2.93-3.06, 4 Ru 2.96
Cu 0.4287 0.0000 0.8574  2 Ru 2.66, 2 Dy 2.93
Ru 0.5769 0.5000 0.1538  2 Cu 2.66, 1 Sm 2.94, 4 Dy 2.96

D(E_F) in states/eV/f.u.: 3.59
Calculated formation energy in meV per atom: -262.9

This record from the Alexandria database describes a relaxed SmDyCuRu crystal. The functional is PBE-GGA.

a b c (Å): 4.9057 4.9057 4.9057
angles (deg): 60.00 60.00 60.00
With the nearest neighbours (Å) after each atom.
Positions (direct):
Ru 0.7500 0.7500 0.7500  4 Sm 3.00, 4 Dy 3.00
Cu 0.2500 0.2500 0.2500  4 Dy 3.00, 4 Sm 3.00
Sm 0.0000 0.0000 0.0000  4 Cu 3.00, 4 Ru 3.00
Dy 0.5000 0.5000 0.5000  4 Ru 3.00, 4 Cu 3.00

D(E_F) in states/eV/f.u.: 3.16
Calculated formation energy in meV per atom: -274.5

This record from the Alexandria database describes a relaxed DyCuSnRu crystal. The functional is PBE-GGA.

a b c (Å): 4.6985 4.6985 4.6985
angles (deg): 60.00 60.00 60.00
With the nearest neighbours (Å) after each atom.
Positions (direct):
Ru 0.5000 0.5000 0.5000  4 Sn 2.88, 4 Dy 2.88
Sn 0.7500 0.7500 0.7500  4 Ru 2.88, 4 Cu 2.88
Cu 0.0000 0.0000 0.0000  4 Dy 2.88, 4 Sn 2.88
Dy 0.2500 0.2500 0.2500  4 Ru 2.88, 4 Cu 2.88

D(E_F) in states/eV/f.u.: 2.69
Calculated formation energy in meV per atom: -266.6

This record from the Alexandria database describes a relaxed DyTaCuRu crystal. The functional is PBE-GGA.

a b c (Å): 4.6441 4.6441 4.6441
angles (deg): 60.00 60.00 60.00
With the nearest neighbours (Å) after each atom.
Positions (direct):
Ru 0.2500 0.2500 0.2500  4 Ta 2.84, 4 Dy 2.84
Dy 0.0000 0.0000 0.0000  4 Ru 2.84, 4 Cu 2.84
Cu 0.7500 0.7500 0.7500  4 Ta 2.84, 4 Dy 2.84
Ta 0.5000 0.5000 0.5000  4 Ru 2.84, 4 Cu 2.84

D(E_F) in states/eV/f.u.: 3.84
Calculated formation energy in meV per atom: -54.3

This record from the Alexandria database describes a relaxed DyThCuRu crystal. The functional is PBE-GGA.

a b c (Å): 4.9617 4.9617 4.9617
angles (deg): 60.00 60.00 60.00
With the nearest neighbours (Å) after each atom.
Positions (direct):
Ru 0.7500 0.7500 0.7500  4 Dy 3.04, 4 Th 3.04
Cu 0.2500 0.2500 0.2500  4 Th 3.04, 4 Dy 3.04
Th 0.0000 0.0000 0.0000  4 Ru 3.04, 4 Cu 3.04
Dy 0.5000 0.5000 0.5000  4 Ru 3.04, 4 Cu 3.04

D(E_F) in states/eV/f.u.: 4.06
Calculated formation energy in meV per atom: -288.8

This record from the Alexandria database describes a relaxed Dy3Tm3CuRu2 crystal. The functional is PBE-GGA.

a b c (Å): 4.7640 7.1992 7.1992
angles (deg): 120.00 90.00 90.00
With the nearest neighbours (Å) after each atom.
Positions (direct):
Dy 0.5000 0.7321 0.0000  2 Ru 2.67
Dy 0.5000 0.0000 0.7321  2 Ru 2.67
Dy 0.5000 0.2679 0.2679  2 Ru 2.67
Tm 0.0000 0.5850 0.5850  1 Cu 2.99, 4 Ru 3.22, 2 Dy 3.30
Tm 0.0000 0.0000 0.4150  1 Cu 2.99, 4 Ru 3.22, 2 Dy 3.30
Tm 0.0000 0.4150 0.0000  1 Cu 2.99, 4 Ru 3.22, 2 Dy 3.30
Cu 0.0000 0.0000 0.0000  3 Tm 2.99, 6 Dy 3.06
Ru 0.5000 0.6667 0.3333  3 Dy 2.67
Ru 0.5000 0.3333 0.6667  3 Dy 2.67

D(E_F) in states/eV/f.u.: 6.54
Calculated formation energy in meV per atom: -215.1